{"formula": "Dy2Sc2CI2Br3", "functional": "PBE-GGA", "state": "optimized geometry", "polymorph_energy_mev_per_atom": 63, "crystal_system": "monoclinic", "vol_a3_per_cell": 286.9, "m_tot_mub_per_atom": 0.002, "lattice": [[9.7428, -1.8929, 0.0000], [9.7428, 1.8929, 0.0000], [-1.6305, 0.0000, 7.7791]], "species": ["Dy", "Dy", "Sc", "Sc", "C", "I", "I", "Br", "Br", "Br"], "fractional_positions": [[0.1221, 0.1221, 0.0540], [0.8779, 0.8779, 0.9460], [0.4988, 0.4988, 0.8103], [0.5012, 0.5012, 0.1897], [0.0000, 0.0000, 0.0000], [0.3426, 0.3426, 0.6491], [0.6574, 0.6574, 0.3509], [0.0000, 0.0000, 0.5000], [0.3537, 0.3537, 0.1927], [0.6463, 0.6463, 0.8073]]}